Entry 1:
A plane-wave DFT calculation with GGA-PBE was carried out for ThGa2Ni2Ge after structural relaxation.

Cell: 4.395 4.395 5.673 Å, 90.00 90.00 90.00°
Space group P4/mmm (No. 123)
Symmetry-distinct sites (fractional):
Th 0.000 0.000 0.000 [1 per cell]
Ga 0.500 0.500 0.239 [2 per cell]
Ni 0.000 0.500 0.500 [2 per cell]
Ge 0.000 0.000 0.500 [1 per cell]

Computed properties:
V = 18.264 Å³ per atom
theoretical density = 8.51 Mg/m³
DFT formation energy = -0.273 eV per atom
E = -31.294 eV/f.u.



Entry 2:
A plane-wave DFT calculation with GGA-PBE was carried out for Pm6Nd3Ho2Mg after structural relaxation.

Cell: 6.270 10.876 11.878 Å, 90.00 100.23 90.00°
Space group C2/m (No. 12)
Symmetry-distinct sites (fractional):
Pm 0.246 0.166 0.244 [8 per cell]
Pm 0.248 0.500 0.245 [4 per cell]
Nd 0.000 0.167 0.500 [4 per cell]
Nd 0.000 0.500 0.500 [2 per cell]
Ho 0.000 0.334 0.000 [4 per cell]
Mg 0.000 0.000 0.000 [2 per cell]

Computed properties:
V = 33.210 Å³ per atom
theoretical density = 6.90 Mg/m³
DFT formation energy = 0.029 eV per atom
E = -53.215 eV/f.u.



Entry 3:
A plane-wave DFT calculation with GGA-PBE was carried out for Ca2As2Pt after structural relaxation.

Cell: 3.760 3.760 16.580 Å, 90.00 90.00 90.00°
Space group I4/mmm (No. 139)
Symmetry-distinct sites (fractional):
Ca 0.000 0.000 0.101 [4 per cell]
As 0.000 0.500 0.250 [4 per cell]
Pt 0.000 0.000 0.500 [2 per cell]

Computed properties:
V = 23.442 Å³ per atom
theoretical density = 6.02 Mg/m³
distance to the lowest polymorph of the same formula = 351 meV per atom
DFT formation energy = -0.644 eV per atom
E = -22.565 eV/f.u.



Entry 4:
A plane-wave DFT calculation with GGA-PBE was carried out for TcRhSe2N after structural relaxation.

Cell: 5.109 5.109 3.615 Å, 90.00 90.00 90.00°
Space group P4/mmm (No. 123)
Symmetry-distinct sites (fractional):
Tc 0.000 0.000 0.000 [1 per cell]
Rh 0.500 0.500 0.500 [1 per cell]
Se 0.000 0.500 0.500 [2 per cell]
N 0.500 0.500 0.000 [1 per cell]

Computed properties:
V = 18.871 Å³ per atom
energy relative to the elements, uncorrected = 4.31 eV per formula unit
theoretical density = 6.56 Mg/m³
distance to the lowest polymorph of the same formula = 255 meV per atom
E = -28.701 eV/f.u.



Entry 5:
A plane-wave DFT calculation with GGA-PBE was carried out for Sm2GdHo after structural relaxation.

Cell: 3.594 3.594 10.143 Å, 90.00 90.00 90.00°
Space group P4/mmm (No. 123)
Symmetry-distinct sites (fractional):
Sm 0.000 0.000 0.247 [2 per cell]
Gd 0.500 0.500 0.500 [1 per cell]
Ho 0.500 0.500 0.000 [1 per cell]

Computed properties:
V = 32.760 Å³ per atom
theoretical density = 7.89 Mg/m³
distance to the lowest polymorph of the same formula = 4 meV per atom
DFT formation energy = 0.018 eV per atom
E = -28.023 eV/f.u.



Entry 6:
A plane-wave DFT calculation with GGA-PBE was carried out for BeCr2Ir after structural relaxation.

Cell: 4.217 4.217 2.855 Å, 90.00 90.00 90.00°
Space group P4/mmm (No. 123)
Symmetry-distinct sites (fractional):
Be 0.000 0.000 0.000 [1 per cell]
Cr 0.000 0.500 0.500 [2 per cell]
Ir 0.500 0.500 0.000 [1 per cell]

Computed properties:
V = 12.694 Å³ per atom
theoretical density = 9.98 Mg/m³
DFT formation energy = 0.138 eV per atom
E = -31.282 eV/f.u.



Entry 7:
A plane-wave DFT calculation with GGA-PBE was carried out for KCrPb2 after structural relaxation.

Cell: 7.789 7.789 7.789 Å, 90.00 90.00 90.00°
Space group F-43m (No. 216)
Symmetry-distinct sites (fractional):
K 0.000 0.000 0.000 [4 per cell]
Cr 0.250 0.250 0.250 [4 per cell]
Pb 0.000 0.000 0.500 [4 per cell]
Pb 0.250 0.250 0.750 [4 per cell]

Computed properties:
V = 29.531 Å³ per atom
theoretical density = 7.11 Mg/m³
distance to the lowest polymorph of the same formula = 286 meV per atom
DFT formation energy = 0.464 eV per atom
E = -16.282 eV/f.u.



Entry 8:
A plane-wave DFT calculation with GGA-PBE was carried out for VCuNi2S after structural relaxation.

Cell: 4.278 4.278 4.427 Å, 90.00 90.00 90.00°
Space group P4/mmm (No. 123)
Symmetry-distinct sites (fractional):
V 0.000 0.000 0.000 [1 per cell]
Cu 0.000 0.000 0.500 [1 per cell]
Ni 0.000 0.500 0.500 [2 per cell]
S 0.500 0.500 0.000 [1 per cell]

Computed properties:
V = 16.206 Å³ per atom
energy relative to the elements, uncorrected = 5.77 eV per formula unit
theoretical density = 5.41 Mg/m³
distance to the lowest polymorph of the same formula = 991 meV per atom
E = -23.132 eV/f.u.



- Number 1 is which compound?
  ThGa2Ni2Ge